Compound: Fe2Rh2Pb
Source: Alexandria
Functional: PBE
Structure: optimized geometry

Unit cell a=7.397 b=7.397 c=2.947 alpha=90.00 beta=90.00 gamma=90.00
Sites, in units of the cell vectors:
Fe  0.154  0.346  0.000
Fe  0.346  0.846  0.000
Fe  0.654  0.154  0.000
Fe  0.846  0.654  0.000
Rh  0.136  0.636  0.500
Rh  0.364  0.136  0.500
Rh  0.636  0.864  0.500
Rh  0.864  0.364  0.500
Pb  0.000  0.000  0.500
Pb  0.500  0.500  0.500

Polymorph energy (0 for the lowest one): 0 meV/atom
ΔH_f (0 K): 0.169 eV per atom

***

Compound: FeRhPb2
Source: Alexandria
Functional: PBE
Structure: optimized geometry

Unit cell a=6.336 b=6.336 c=6.336 alpha=150.15 beta=137.47 gamma=52.82
Sites, in units of the cell vectors:
Fe  0.000  0.000  0.000
Rh  0.832  0.332  0.500
Pb  0.298  0.798  0.500
Pb  0.579  0.579  0.000

Polymorph energy (0 for the lowest one): 174 meV/atom
ΔH_f (0 K): 0.323 eV per atom

***

Compound: FeRhPb2
Source: Alexandria
Functional: PBE
Structure: optimized geometry

Unit cell a=4.599 b=4.599 c=5.910 alpha=101.90 beta=101.90 gamma=41.33
Sites, in units of the cell vectors:
Fe  0.000  0.000  0.000
Rh  0.500  0.500  0.500
Pb  0.249  0.249  0.750
Pb  0.751  0.751  0.250

Polymorph energy (0 for the lowest one): 279 meV/atom
ΔH_f (0 K): 0.427 eV per atom

***

Compound: Fe2RuRhPb
Source: Alexandria
Functional: PBE
Structure: optimized geometry

Unit cell a=4.788 b=4.788 c=4.905 alpha=90.00 beta=90.00 gamma=90.00
Sites, in units of the cell vectors:
Fe  0.000  0.500  0.000
Fe  0.500  0.000  0.000
Ru  0.000  0.000  0.500
Rh  0.500  0.500  0.500
Pb  0.500  0.500  0.000

ΔH_f (0 K): 2.036 eV per atom

***

Compound: FeSiRh2Pb
Source: Alexandria
Functional: PBE
Structure: optimized geometry

Unit cell a=4.977 b=4.977 c=5.029 alpha=90.00 beta=90.00 gamma=90.00
Sites, in units of the cell vectors:
Fe  0.000  0.000  0.000
Si  0.500  0.500  0.000
Rh  0.000  0.500  0.500
Rh  0.500  0.000  0.500
Pb  0.500  0.500  0.500

Uncorrected formation energy: 41.47 kcal/mol of atoms

***

Compound: FeRu4Pb
Source: Alexandria
Functional: PBE
Structure: optimized geometry

Unit cell a=5.185 b=5.185 c=5.185 alpha=60.00 beta=60.00 gamma=60.00
Sites, in units of the cell vectors:
Fe  0.000  0.000  0.000
Ru  0.375  0.375  0.375
Ru  0.375  0.375  0.876
Ru  0.375  0.876  0.375
Ru  0.876  0.375  0.375
Pb  0.750  0.750  0.750

ΔH_f (0 K): 0.673 eV per atom

***

Compound: Fe3RuPb
Source: Alexandria
Functional: PBE
Structure: optimized geometry

Unit cell a=4.652 b=4.652 c=4.652 alpha=90.00 beta=90.00 gamma=90.00
Sites, in units of the cell vectors:
Fe  0.000  0.000  0.500
Fe  0.000  0.500  0.000
Fe  0.500  0.000  0.000
Ru  0.000  0.000  0.000
Pb  0.500  0.500  0.500

Polymorph energy (0 for the lowest one): 0 meV/atom
ΔH_f (0 K): 1.138 eV per atom

***

Compound: Fe2TcRuPb
Source: Alexandria
Functional: PBE
Structure: optimized geometry

Unit cell a=4.769 b=4.769 c=4.975 alpha=90.00 beta=90.00 gamma=90.00
Sites, in units of the cell vectors:
Fe  0.000  0.500  0.000
Fe  0.500  0.000  0.000
Tc  0.000  0.000  0.500
Ru  0.500  0.500  0.500
Pb  0.500  0.500  0.000

ΔH_f (0 K): 2.276 eV per atom

***

Compound: ZrFeRuPb2
Source: Alexandria
Functional: PBE
Structure: optimized geometry

Unit cell a=4.915 b=4.915 c=4.631 alpha=90.00 beta=90.00 gamma=90.00
Sites, in units of the cell vectors:
Zr  0.000  0.000  0.000
Fe  0.000  0.000  0.500
Ru  0.500  0.500  0.000
Pb  0.000  0.500  0.500
Pb  0.500  0.000  0.500

ΔH_f (0 K): 0.800 eV per atom

***

Compound: Fe2PbS
Source: Alexandria
Functional: PBE
Structure: optimized geometry

Unit cell a=4.376 b=4.376 c=4.376 alpha=60.00 beta=60.00 gamma=60.00
Sites, in units of the cell vectors:
Fe  0.250  0.250  0.250
Fe  0.750  0.750  0.750
Pb  0.000  0.000  0.000
S  0.500  0.500  0.500

Polymorph energy (0 for the lowest one): 362 meV/atom
Uncorrected formation energy: 19.02 kcal/mol of atoms

***

Compound: Fe3PbS
Source: Alexandria
Functional: PBE
Structure: optimized geometry

Unit cell a=4.283 b=4.283 c=4.283 alpha=90.00 beta=90.00 gamma=90.00
Sites, in units of the cell vectors:
Fe  0.000  0.000  0.500
Fe  0.000  0.500  0.000
Fe  0.500  0.000  0.000
Pb  0.500  0.500  0.500
S  0.000  0.000  0.000

Polymorph energy (0 for the lowest one): 0 meV/atom
Uncorrected formation energy: 5.37 kcal/mol of atoms

***

Compound: Fe3PbS
Source: Alexandria
Functional: PBE
Structure: optimized geometry

Unit cell a=5.004 b=5.004 c=5.004 alpha=90.00 beta=90.00 gamma=90.00
Sites, in units of the cell vectors:
Fe  0.000  0.000  0.500
Fe  0.000  0.500  0.000
Fe  0.500  0.000  0.000
Pb  0.000  0.000  0.000
S  0.500  0.500  0.500

Polymorph energy (0 for the lowest one): 1531 meV/atom
Uncorrected formation energy: 40.67 kcal/mol of atoms

***

Compound: Fe2PbS
Source: Alexandria
Functional: PBE
Structure: optimized geometry

Unit cell a=6.165 b=6.165 c=6.165 alpha=124.73 beta=124.73 gamma=81.99
Sites, in units of the cell vectors:
Fe  0.045  0.625  0.920
Fe  0.375  0.295  0.420
Fe  0.705  0.125  0.080
Fe  0.875  0.955  0.580
Pb  0.250  0.750  0.500
Pb  0.500  0.500  0.000
S  0.000  0.000  0.000
S  0.750  0.250  0.500

Polymorph energy (0 for the lowest one): 0 meV/atom
Uncorrected formation energy: 10.68 kcal/mol of atoms

***

Compound: FePb3S
Source: Alexandria
Functional: PBE
Structure: optimized geometry

Unit cell a=5.029 b=5.029 c=5.029 alpha=90.00 beta=90.00 gamma=90.00
Sites, in units of the cell vectors:
Fe  0.000  0.000  0.000
Pb  0.000  0.000  0.500
Pb  0.000  0.500  0.000
Pb  0.500  0.000  0.000
S  0.500  0.500  0.500

Polymorph energy (0 for the lowest one): 0 meV/atom
Uncorrected formation energy: 2.85 kcal/mol of atoms

***

Compound: FePbS3
Source: Alexandria
Functional: PBE
Structure: optimized geometry

Unit cell a=5.111 b=5.111 c=5.111 alpha=90.00 beta=90.00 gamma=90.00
Sites, in units of the cell vectors:
Fe  0.000  0.000  0.000
Pb  0.500  0.500  0.500
S  0.000  0.500  0.500
S  0.500  0.000  0.500
S  0.500  0.500  0.000

Uncorrected formation energy: 24.04 kcal/mol of atoms

***

Compound: FePb3S
Source: Alexandria
Functional: PBE
Structure: optimized geometry

Unit cell a=5.476 b=5.476 c=5.476 alpha=90.00 beta=90.00 gamma=90.00
Sites, in units of the cell vectors:
Fe  0.000  0.000  0.000
Pb  0.000  0.500  0.500
Pb  0.500  0.000  0.500
Pb  0.500  0.500  0.000
S  0.500  0.500  0.500

Polymorph energy (0 for the lowest one): 632 meV/atom
Uncorrected formation energy: 17.42 kcal/mol of atoms

***

Compound: ScFe2PbS
Source: Alexandria
Functional: PBE
Structure: optimized geometry

Unit cell a=4.895 b=4.895 c=5.576 alpha=90.00 beta=90.00 gamma=90.00
Sites, in units of the cell vectors:
Sc  0.000  0.000  0.000
Fe  0.000  0.500  0.500
Fe  0.500  0.000  0.500
Pb  0.000  0.000  0.500
S  0.500  0.500  0.000

Uncorrected formation energy: 26.31 kcal/mol of atoms

***

Compound: ZnFePbS2
Source: Alexandria
Functional: PBE
Structure: optimized geometry

Unit cell a=5.262 b=5.262 c=5.238 alpha=90.00 beta=90.00 gamma=90.00
Sites, in units of the cell vectors:
Zn  0.000  0.000  0.000
Fe  0.500  0.500  0.000
Pb  0.500  0.500  0.500
S  0.000  0.500  0.500
S  0.500  0.000  0.500

Uncorrected formation energy: 25.07 kcal/mol of atoms

***

Compound: FeSbPb2
Source: Alexandria
Functional: PBE
Structure: optimized geometry

Unit cell a=7.235 b=7.235 c=7.235 alpha=153.34 beta=142.35 gamma=46.73
Sites, in units of the cell vectors:
Fe  0.000  0.000  0.000
Sb  0.155  0.655  0.500
Pb  0.476  0.476  0.000
Pb  0.800  0.300  0.500

Uncorrected formation energy: 7.09 kcal/mol of atoms

***

Compound: FeSbPb2
Source: Alexandria
Functional: PBE
Structure: optimized geometry

Unit cell a=4.767 b=4.767 c=7.191 alpha=107.52 beta=107.52 gamma=41.88
Sites, in units of the cell vectors:
Fe  0.000  0.000  0.000
Sb  0.712  0.712  0.997
Pb  0.360  0.360  0.672
Pb  0.533  0.533  0.322

Uncorrected formation energy: 4.81 kcal/mol of atoms

***

Quick rundown of total DFT energy (no corrections), same order as above: -68.99 -21.94 -21.52 -27.08 -23.31 -45.23 -32.68 -28.90 -29.70 -21.46 -32.06 -24.41 -45.82 -23.10 -19.34 -19.94 -25.39 -16.26 -18.77 -19.17 eV per cell